1.
9
Lattice="3.6045 0.0000 0.0000 0.0000 7.4199 4.1919 0.0000 -7.4199 4.1919" Properties=species:S:1:pos:R:3 comment="Ce6NiAu2 | Alexandria via LeMat-Bulk | PBE-GGA | relaxed" volume_a3_per_atom=24.91 mass_density_g_cm3=9.6 sg="Amm2 (38)" m_tot_mub_per_fu=2.72 final_energy_ev_per_cell=-50.96 pbc="T T T"
Ce 0.0000 0.0000 0.0000
Ce 0.0000 -1.8019 3.1273
Ce 0.0000 1.8019 3.1273
Ce 1.8022 -4.4394 4.5482
Ce 1.8022 0.0000 5.6005
Ce 1.8022 4.4394 4.5482
Ni 1.8022 0.0000 2.1027
Au 0.0000 -2.5182 6.2527
Au 0.0000 2.5182 6.2527

=====

2.
7
Lattice="4.8082 2.7760 1.9531 -4.8082 2.7760 1.9531 0.0000 -5.5520 1.9531" Properties=species:S:1:pos:R:3 comment="DyEr3Ir3 | Alexandria via LeMat-Bulk | PBE-GGA | relaxed" volume_a3_per_atom=22.34 relative_energy_mev_per_atom=0 mass_density_g_cm3=13.2 sg="R-3m (166)" m_tot_mub_per_fu=0.00 pbc="T T T"
Dy 0.0000 0.0000 0.0000
Er -2.4041 -1.3880 1.9531
Er -2.4041 1.3880 3.9061
Er 0.0000 2.7760 1.9531
Ir -4.8082 0.0000 2.9296
Ir -2.4041 1.3880 0.9765
Ir 2.4041 1.3880 0.9765

=====

3.
12
Lattice="4.7408 0.0000 0.0000 0.0000 14.8537 0.0000 0.0000 0.0000 4.3261" Properties=species:S:1:pos:R:3 comment="Mg2ScPb3 | Alexandria via LeMat-Bulk | PBE-GGA | relaxed" volume_a3_per_atom=25.39 mass_density_g_cm3=7.8 sg="Cmmm (65)" m_tot_mub_per_fu=0.00 final_energy_ev_per_cell=-43.26 pbc="T T T"
Mg 0.0000 2.4605 0.0000
Mg 0.0000 12.3932 0.0000
Mg 2.3704 4.9664 0.0000
Mg 2.3704 9.8873 0.0000
Sc 0.0000 7.4268 0.0000
Sc 2.3704 0.0000 0.0000
Pb 0.0000 0.0000 2.1631
Pb 0.0000 4.9630 2.1631
Pb 0.0000 9.8906 2.1631
Pb 2.3704 2.4638 2.1631
Pb 2.3704 7.4268 2.1631
Pb 2.3704 12.3899 2.1631

=====

4.
14
Lattice="9.2024 0.0000 0.0000 -4.6012 7.9695 0.0000 0.0000 0.0000 5.4551" Properties=species:S:1:pos:R:3 comment="Ce3Tl3In | Alexandria via LeMat-Bulk | PBE-GGA | relaxed" volume_a3_per_atom=28.58 mass_density_g_cm3=9.5 sg="P6_3/m (176)" m_tot_mub_per_fu=3.55 final_energy_ev_per_cell=-57.47 pbc="T T T"
Ce -2.0322 5.0646 1.3638
Ce 1.2312 3.6773 1.3638
Ce 3.8002 0.7724 4.0913
Ce 0.8010 7.1971 1.3638
Ce 3.3700 4.2922 4.0913
Ce 6.6334 2.9049 4.0913
Tl -3.2745 6.4489 4.0913
Tl 0.6536 1.9094 4.0913
Tl 1.9803 0.3887 1.3638
Tl 2.6209 7.5809 4.0913
Tl 3.9477 6.0602 1.3638
Tl 7.8757 1.5207 1.3638
In 0.0000 5.3130 4.0913
In 4.6012 2.6565 1.3638

=====

5.
15
Lattice="3.4848 2.0119 5.5803 -3.4848 2.0119 5.5803 0.0000 -4.0239 5.5803" Properties=species:S:1:pos:R:3 comment="VPd8Pt6 | Alexandria via LeMat-Bulk | PBE-GGA | relaxed" volume_a3_per_atom=15.65 relative_energy_mev_per_atom=0 mass_density_g_cm3=14.7 sg="R-3 (148)" m_tot_mub_per_fu=0.00 pbc="T T T"
V 0.0000 0.0000 0.0000
Pd -2.4337 -0.8060 8.9137
Pd -0.5189 -2.5107 7.8273
Pd -1.9149 1.7047 7.8273
Pd 0.0000 0.0000 7.0439
Pd 0.0000 0.0000 9.6971
Pd 1.9149 -1.7047 8.9137
Pd 0.5189 2.5107 8.9137
Pd 2.4337 0.8060 7.8273
Pt -0.7383 -1.5903 4.9447
Pt -1.0081 1.4345 4.9447
Pt -1.7464 -0.1558 11.7963
Pt 1.7464 0.1558 4.9447
Pt 1.0081 -1.4345 11.7963
Pt 0.7383 1.5903 11.7963

=====

6.
6
Lattice="0.0000 3.3936 3.3936 3.3936 0.0000 3.3936 3.3936 3.3936 0.0000" Properties=species:S:1:pos:R:3 comment="Ni4HgRh | Alexandria via LeMat-Bulk | PBE-GGA | relaxed" volume_a3_per_atom=13.03 mass_density_g_cm3=11.4 sg="F-43m (216)" m_tot_mub_per_fu=2.18 final_energy_ev_per_cell=-29.78 pbc="T T T"
Ni 0.8445 0.8445 0.8445
Ni 2.5491 2.5491 0.8445
Ni 2.5491 0.8445 2.5491
Ni 0.8445 2.5491 2.5491
Hg 3.3936 3.3936 3.3936
Rh 5.0904 5.0904 5.0904